(1)
First-principles (PBE) data for a relaxed structure of NaAg2S, as listed in Alexandria.

Results
As for the uncorrected formation energy: -93.1 meV per atom. The total energy is -2.880 eV/atom. The value obtained for the density is 5.59 g cm⁻³.

Cell: 4.038 4.038 10.264 Å, 78.66 78.66 90.00°
Fractional coordinates of all 8 atoms:
Na (0.500, 0.500, 0.000)
Na (0.250, 0.750, 0.500)
S (0.000, 0.000, 0.000)
S (0.750, 0.250, 0.500)
Ag (0.642, 0.125, 0.250)
Ag (0.108, 0.625, 0.250)
Ag (0.375, 0.358, 0.750)
Ag (0.875, 0.892, 0.750)

(2)
First-principles (PBE) data for a relaxed structure of NaAgS, as listed in Alexandria.

Results
As for the uncorrected formation energy: -576.2 meV per atom. The total energy is -3.342 eV/atom. The value obtained for the density is 4.47 g cm⁻³.

Cell: 4.141 4.141 7.056 Å, 90.00 90.00 90.00°
Fractional coordinates of all 6 atoms:
Na (0.500, 0.500, 0.348)
Na (0.000, 0.000, 0.652)
Ag (0.500, 0.000, 0.000)
Ag (0.000, 0.500, 0.000)
S (0.500, 0.500, 0.749)
S (0.000, 0.000, 0.251)

(3)
First-principles (PBE) data for a relaxed structure of NaAgS5, as listed in Alexandria.

Results
As for the uncorrected formation energy: -221.3 meV per atom. The total energy is -3.765 eV/atom. The value obtained for the density is 2.69 g cm⁻³.

Cell: 9.868 4.646 28.574 Å, 49.73 23.40 62.28°
Fractional coordinates of all 14 atoms:
Na (0.753, 0.585, 0.249)
Na (0.247, 0.415, 0.751)
Ag (0.000, 0.000, 0.000)
Ag (0.500, 0.500, 0.500)
S (0.106, 0.459, 0.063)
S (0.605, 0.321, 0.564)
S (0.826, 0.296, 0.647)
S (0.249, 0.301, 0.251)
S (0.676, 0.634, 0.851)
S (0.324, 0.366, 0.149)
S (0.751, 0.699, 0.749)
S (0.174, 0.704, 0.353)
S (0.395, 0.679, 0.436)
S (0.894, 0.541, 0.937)

> Number 2 is which compound?

NaAgS